# 1
Material: YZnCoAu
Method: DFT, PBE-GGA
State: optimized geometry

POSCAR file:
```
YZnCoAu
1.0
-4.039 0.338 2.295
-3.094 3.269 -1.200
-3.978 -1.216 -2.096
Au Co Y Zn
1 1 1 1
Direct
0.250 0.250 0.250
0.750 0.750 0.750
0.500 0.500 0.500
0.000 0.000 0.000
```

Its space group is No. 216. Its calculated density is 9.5 g/cm3. Its excess energy over the best structure of this formula in the dataset is 0.000 eV per atom. As for the magnetic moment: 0.25 μB per atom. Its calculated volume is 71.5 Å³ per cell.

# 2
Material: TaSi2H35C12N4
Method: DFT, PBE-GGA
State: optimized geometry

POSCAR file:
```
TaSi2H35C12N4
1.0
-2.941 -1.135 7.337
1.993 -8.920 3.526
12.602 0.224 5.781
C H N Si Ta
24 70 8 4 2
Direct
0.898 0.689 0.034
0.317 0.338 0.063
0.426 0.938 0.126
0.903 0.989 0.127
0.779 0.244 0.148
0.425 0.600 0.189
0.119 0.324 0.295
0.677 0.664 0.311
0.403 0.101 0.358
0.944 0.927 0.407
0.150 0.595 0.407
0.672 0.264 0.482
0.328 0.736 0.518
0.850 0.405 0.593
0.056 0.073 0.593
0.597 0.899 0.642
0.323 0.336 0.689
0.881 0.676 0.705
0.575 0.400 0.811
0.221 0.756 0.852
0.097 0.011 0.873
0.574 0.062 0.874
0.683 0.662 0.937
0.102 0.311 0.966
0.259 0.465 0.022
0.433 0.285 0.022
0.009 0.730 0.031
0.390 0.946 0.048
0.836 0.034 0.049
0.701 0.299 0.073
0.953 0.561 0.073
0.795 0.743 0.081
0.537 0.981 0.121
0.028 0.886 0.133
0.371 0.319 0.140
0.532 0.560 0.140
0.293 0.644 0.145
0.814 0.333 0.164
0.810 0.949 0.180
0.687 0.212 0.205
0.993 0.373 0.246
0.434 0.498 0.255
0.789 0.614 0.268
0.187 0.408 0.271
0.706 0.751 0.335
0.486 0.172 0.336
0.059 0.617 0.342
0.848 0.943 0.346
0.485 0.983 0.357
0.082 0.318 0.374
0.680 0.570 0.381
0.945 0.041 0.399
0.280 0.500 0.406
0.728 0.308 0.411
0.372 0.094 0.438
0.090 0.552 0.478
0.889 0.887 0.480
0.654 0.159 0.482
0.536 0.353 0.483
0.464 0.647 0.517
0.346 0.841 0.518
0.111 0.113 0.520
0.910 0.448 0.522
0.628 0.906 0.562
0.272 0.692 0.589
0.720 0.500 0.594
0.055 0.959 0.601
0.320 0.430 0.619
0.918 0.682 0.626
0.515 0.017 0.643
0.152 0.057 0.654
0.941 0.383 0.658
0.514 0.828 0.664
0.294 0.249 0.665
0.813 0.592 0.729
0.211 0.386 0.732
0.566 0.502 0.745
0.007 0.627 0.754
0.313 0.788 0.795
0.190 0.051 0.820
0.186 0.667 0.836
0.707 0.356 0.855
0.468 0.440 0.860
0.629 0.681 0.860
0.972 0.114 0.867
0.463 0.019 0.879
0.205 0.257 0.919
0.047 0.439 0.927
0.299 0.701 0.927
0.164 0.966 0.951
0.610 0.054 0.952
0.991 0.270 0.969
0.567 0.715 0.978
0.741 0.535 0.978
0.181 0.271 0.069
0.942 0.108 0.151
0.236 0.171 0.291
0.270 0.849 0.292
0.730 0.151 0.708
0.764 0.829 0.709
0.058 0.892 0.849
0.819 0.729 0.931
0.453 0.756 0.231
0.177 0.779 0.402
0.823 0.221 0.598
0.547 0.244 0.769
0.192 0.080 0.190
0.808 0.920 0.810
```

Its space group is No. 2. Its calculated density is 1.7 g/cm3. The total DFT energy (no corrections) is -5.48 eV/atom. As for the magnetic moment: 0.00 μB per atom. Its calculated volume is 944.6 Å³ per cell.

# 3
Material: DyHoHg2
Method: DFT, PBE-GGA
State: optimized geometry

POSCAR file:
```
DyHoHg2
1.0
-0.902 4.073 3.033
4.306 -2.445 4.563
6.507 1.697 -0.344
Dy Hg Ho
2 4 2
Direct
0.000 0.839 0.308
0.000 0.308 0.839
0.500 0.168 0.168
0.500 0.673 0.171
0.500 0.171 0.673
0.000 0.824 0.824
0.000 0.331 0.331
0.500 0.685 0.685
```

Its space group is No. 38. Its calculated density is 11.9 g/cm3. The total DFT energy (no corrections) is -2.71 eV/atom. As for the magnetic moment: 0.00 μB per atom. Its calculated volume is 203.6 Å³ per cell.

# 4
Material: BaCdIrPb2
Method: DFT, PBE-GGA
State: optimized geometry

POSCAR file:
```
BaCdIrPb2
1.0
4.947 0.000 0.000
0.000 4.947 0.000
0.000 0.000 11.684
Ba Cd Ir Pb
2 2 2 4
Direct
0.000 0.500 0.262
0.500 0.000 0.738
0.000 0.000 0.000
0.500 0.500 0.000
0.500 0.000 0.390
0.000 0.500 0.610
0.500 0.000 0.159
0.000 0.000 0.500
0.500 0.500 0.500
0.000 0.500 0.841
```

Its space group is No. 129. Its calculated density is 9.9 g/cm3. The total DFT energy (no corrections) is -4.05 eV/atom. As for the magnetic moment: 0.00 μB per atom. Its calculated volume is 286.0 Å³ per cell.

# 5
Material: NiSnOsPd
Method: DFT, PBE-GGA
State: optimized geometry

POSCAR file:
```
NiSnOsPd
1.0
3.915 1.526 1.372
0.679 0.799 4.294
2.695 -2.612 2.334
Ni Os Pd Sn
1 1 1 1
Direct
0.750 0.750 0.750
0.500 0.500 0.500
0.250 0.250 0.250
0.000 0.000 0.000
```

Its space group is No. 216. Its calculated density is 12.9 g/cm3. The total DFT energy (no corrections) is -6.19 eV/atom. As for the magnetic moment: 0.00 μB per atom. Its calculated volume is 61.1 Å³ per cell.

# 6
Material: ThMgBe
Method: DFT, PBE-GGA
State: optimized geometry

POSCAR file:
```
ThMgBe
1.0
0.000 3.286 3.286
3.286 0.000 3.286
3.286 3.286 0.000
Be Mg Th
1 1 1
Direct
0.000 0.000 0.000
0.250 0.250 0.250
0.750 0.750 0.750
```

Its space group is No. 216. Its calculated density is 6.2 g/cm3. Its excess energy over the best structure of this formula in the dataset is 0.000 eV per atom. As for the magnetic moment: 0.00 μB per atom. Its calculated volume is 71.0 Å³ per cell.

# 7
Material: YU
Method: DFT, PBE-GGA
State: optimized geometry

POSCAR file:
```
YU
1.0
0.121 0.606 4.381
-0.696 4.027 1.697
-3.732 0.851 2.219
U Y
1 1
Direct
0.000 0.000 0.000
0.500 0.500 0.500
```

Its space group is No. 225. Its calculated density is 8.9 g/cm3. Its excess energy over the best structure of this formula in the dataset is 1.014 eV per atom. As for the magnetic moment: 2.29 μB per atom. Its calculated volume is 61.3 Å³ per cell.

# 8
Material: Cu3As
Method: DFT, PBE-GGA
State: optimized geometry

POSCAR file:
```
Cu3As
1.0
-3.431 2.018 5.837
-3.415 -3.574 -5.047
1.833 -6.396 3.289
As Cu
6 18
Direct
0.303 0.000 0.250
0.000 0.303 0.250
0.697 0.697 0.250
0.303 0.303 0.750
0.000 0.697 0.750
0.697 0.000 0.750
0.000 0.000 0.000
0.389 0.329 0.083
0.671 0.059 0.083
0.941 0.611 0.083
0.333 0.667 0.160
0.667 0.333 0.340
0.059 0.671 0.417
0.329 0.389 0.417
0.611 0.941 0.417
0.000 0.000 0.500
0.389 0.059 0.583
0.671 0.611 0.583
0.941 0.329 0.583
0.333 0.667 0.660
0.667 0.333 0.840
0.059 0.389 0.917
0.329 0.941 0.917
0.611 0.671 0.917
```

Its space group is No. 165. Its calculated density is 8.2 g/cm3. The total DFT energy (no corrections) is -3.89 eV/atom. Its calculated volume is 320.8 Å³ per cell.

# 9
Material: CsAgMoSeS2
Method: DFT, PBE-GGA
State: optimized geometry

POSCAR file:
```
CsAgMoSeS2
1.0
-7.302 3.799 -0.887
7.203 -2.932 -2.837
-4.406 -8.925 -1.961
Ag Cs Mo S Se
2 2 2 4 2
Direct
0.455 0.545 0.250
0.545 0.455 0.750
0.757 0.243 0.250
0.243 0.757 0.750
0.000 0.000 0.000
0.000 0.000 0.500
0.398 0.602 0.028
0.398 0.602 0.472
0.602 0.398 0.528
0.602 0.398 0.972
0.067 0.933 0.250
0.933 0.067 0.750
```

Its space group is No. 63. Its calculated density is 5.1 g/cm3. The total DFT energy (no corrections) is -4.82 eV/atom. As for the magnetic moment: 0.33 μB per atom. Its calculated volume is 312.6 Å³ per cell.

# 10
Material: YNbZnCo
Method: DFT, PBE-GGA
State: optimized geometry

POSCAR file:
```
YNbZnCo
1.0
-3.633 -2.666 -0.902
-4.195 1.853 -0.289
-2.108 0.290 -4.073
Co Nb Y Zn
1 1 1 1
Direct
0.750 0.750 0.750
0.250 0.250 0.250
0.500 0.500 0.500
0.000 0.000 0.000
```

Its space group is No. 216. Its calculated density is 7.4 g/cm3. Its excess energy over the best structure of this formula in the dataset is 0.104 eV per atom. As for the magnetic moment: 0.27 μB per atom. Its calculated volume is 68.6 Å³ per cell.

# 11
Material: DyZrCSe
Method: DFT, PBE-GGA
State: optimized geometry

POSCAR file:
```
DyZrCSe
1.0
-1.703 2.660 1.713
-1.861 -2.793 -1.282
1.604 -6.265 11.326
C Dy Se Zr
2 2 2 2
Direct
0.000 0.000 0.266
0.000 0.000 0.734
0.667 0.333 0.155
0.667 0.333 0.845
0.333 0.667 0.000
0.667 0.333 0.500
0.333 0.667 0.352
0.333 0.667 0.648
```

Its space group is No. 187. Its calculated density is 7.9 g/cm3. Its excess energy over the best structure of this formula in the dataset is 0.012 eV per atom. As for the magnetic moment: 0.00 μB per atom. Its calculated volume is 145.8 Å³ per cell.

# 12
Material: TlReBr4O
Method: DFT, PBE-GGA
State: optimized geometry

POSCAR file:
```
TlReBr4O
1.0
6.727 -1.895 0.000
6.727 1.895 0.000
-2.430 0.000 7.509
Br O Re Tl
4 1 1 1
Direct
0.364 0.362 0.158
0.645 0.641 0.298
0.359 0.355 0.702
0.638 0.636 0.842
0.998 0.002 0.000
0.497 0.503 0.000
0.997 0.003 0.500
```

Its space group is No. 5. Its calculated density is 6.3 g/cm3. The total DFT energy (no corrections) is -4.47 eV/atom. As for the magnetic moment: 0.25 μB per atom. Its calculated volume is 191.4 Å³ per cell.